A plane-wave DFT calculation with GGA-PBE was carried out for a relaxed structure of VCoTc2.

Values from the calculation:
Uncorrected energy in eV/atom: -9.214
ΔE_f in eV per atom: 0.03
Space-group type: Fm-3m
Total magnetic moment in μB per atom: 0.687
Calculated volume in Å³ per atom: 13.44

```
data_VCoTc2
_chemical_formula_sum 'V1 Co1 Tc2'
_cell_length_a 4.2364
_cell_length_b 4.2364
_cell_length_c 4.2364
_cell_angle_alpha 60.00
_cell_angle_beta 60.00
_cell_angle_gamma 60.00
_space_group_name_H-M_alt 'P 1'
_space_group_IT_number 1
_space_group_name_Hall 'P 1'
loop_
_atom_site_label
_atom_site_type_symbol
_atom_site_fract_x
_atom_site_fract_y
_atom_site_fract_z
Co1 Co 0.5000 0.5000 0.5000
Tc1 Tc 0.2500 0.2500 0.2500
Tc2 Tc 0.7500 0.7500 0.7500
V1 V 0.0000 0.0000 0.0000
```

A plane-wave DFT calculation with GGA-PBE was carried out for a relaxed structure of Cs3DyNp2Te6.

Values from the calculation:
Uncorrected energy in eV/atom: -5.370
Space-group type: C2/m
Total magnetic moment in μB per atom: 0.667
Calculated volume in Å³ per atom: 40.94

```
data_Cs3DyNp2Te6
_chemical_formula_sum 'Cs3 Dy1 Np2 Te6'
_cell_length_a 7.9768
_cell_length_b 7.9768
_cell_length_c 9.3028
_cell_angle_alpha 98.22
_cell_angle_beta 98.22
_cell_angle_gamma 120.00
_space_group_name_H-M_alt 'P 1'
_space_group_IT_number 1
_space_group_name_Hall 'P 1'
loop_
_atom_site_label
_atom_site_type_symbol
_atom_site_fract_x
_atom_site_fract_y
_atom_site_fract_z
Cs1 Cs 0.1670 0.8330 0.5000
Cs2 Cs 0.8330 0.1670 0.5000
Cs3 Cs 0.5000 0.5000 0.5000
Dy1 Dy 0.0000 0.0000 0.0000
Np1 Np 0.3333 0.6667 0.0000
Np2 Np 0.6667 0.3333 0.0000
Te1 Te 0.9366 0.6066 0.8098
Te2 Te 0.7334 0.7334 0.1902
Te3 Te 0.0634 0.3934 0.1902
Te4 Te 0.6066 0.9366 0.8098
Te5 Te 0.2666 0.2666 0.8098
Te6 Te 0.3934 0.0634 0.1902
```

A plane-wave DFT calculation with GGA-PBE was carried out for a relaxed structure of Th4TcSe2Cl.

Values from the calculation:
Uncorrected energy in eV/atom: -7.172
Space-group type: P2/m
Total magnetic moment in μB per atom: 0.000
Calculated volume in Å³ per atom: 26.23

```
data_Th4TcSe2Cl
_chemical_formula_sum 'Th4 Tc1 Se2 Cl1'
_cell_length_a 4.0967
_cell_length_b 7.4877
_cell_length_c 7.2242
_cell_angle_alpha 71.28
_cell_angle_beta 90.00
_cell_angle_gamma 90.00
_space_group_name_H-M_alt 'P 1'
_space_group_IT_number 1
_space_group_name_Hall 'P 1'
loop_
_atom_site_label
_atom_site_type_symbol
_atom_site_fract_x
_atom_site_fract_y
_atom_site_fract_z
Th1 Th 0.0000 0.7387 0.7436
Th2 Th 0.0000 0.2613 0.2564
Th3 Th 0.5000 0.7257 0.2740
Th4 Th 0.5000 0.2743 0.7260
Tc1 Tc 0.0000 0.5000 0.5000
Se1 Se 0.0000 0.0000 0.0000
Se2 Se 0.5000 0.0000 0.5000
Cl1 Cl 0.5000 0.5000 0.0000
```

A plane-wave DFT calculation with GGA-PBE was carried out for a relaxed structure of SmHoTm5.

Values from the calculation:
Uncorrected energy in eV/atom: -3.499
ΔE_f in eV per atom: 1.02
Space-group type: Imm2
Total magnetic moment in μB per atom: 0.000
Calculated volume in Å³ per atom: 40.36

```
data_SmHoTm5
_chemical_formula_sum 'Sm1 Ho1 Tm5'
_cell_length_a 6.1065
_cell_length_b 7.9550
_cell_length_c 7.6793
_cell_angle_alpha 121.19
_cell_angle_beta 113.43
_cell_angle_gamma 90.00
_space_group_name_H-M_alt 'P 1'
_space_group_IT_number 1
_space_group_name_Hall 'P 1'
loop_
_atom_site_label
_atom_site_type_symbol
_atom_site_fract_x
_atom_site_fract_y
_atom_site_fract_z
Sm1 Sm 0.6976 0.5000 0.0000
Ho1 Ho 0.9368 0.0000 0.0000
Tm1 Tm 0.1857 0.2573 0.5147
Tm2 Tm 0.1721 0.5000 0.0000
Tm3 Tm 0.6711 0.7427 0.4853
Tm4 Tm 0.4337 0.8205 0.0000
Tm5 Tm 0.4337 0.1795 0.0000
```

A plane-wave DFT calculation with GGA-PBE was carried out for a relaxed structure of Cs5Ac2Br12.

Values from the calculation:
Uncorrected energy in eV/atom: -3.462
Space-group type: C2/m
Total magnetic moment in μB per atom: 0.070
Calculated volume in Å³ per atom: 53.04

```
data_Cs5Ac2Br12
_chemical_formula_sum 'Cs5 Ac2 Br12'
_cell_length_a 9.2661
_cell_length_b 10.9055
_cell_length_c 11.5179
_cell_angle_alpha 105.33
_cell_angle_beta 90.00
_cell_angle_gamma 115.14
_space_group_name_H-M_alt 'P 1'
_space_group_IT_number 1
_space_group_name_Hall 'P 1'
loop_
_atom_site_label
_atom_site_type_symbol
_atom_site_fract_x
_atom_site_fract_y
_atom_site_fract_z
Cs1 Cs 0.2937 0.5874 0.6405
Cs2 Cs 0.3029 0.6058 0.1726
Cs3 Cs 0.0000 0.0000 0.5000
Cs4 Cs 0.6971 0.3942 0.8274
Cs5 Cs 0.7063 0.4126 0.3595
Ac1 Ac 0.7491 0.0000 0.0000
Ac2 Ac 0.2509 0.0000 0.0000
Br1 Br 0.0026 0.0051 0.1767
Br2 Br 0.1090 0.6852 0.9272
Br3 Br 0.5762 0.6852 0.9272
Br4 Br 0.1123 0.7049 0.4371
Br5 Br 0.5925 0.7049 0.4371
Br6 Br 0.4978 0.9957 0.8190
Br7 Br 0.5022 0.0043 0.1810
Br8 Br 0.8877 0.2951 0.5629
Br9 Br 0.4075 0.2951 0.5629
Br10 Br 0.8910 0.3148 0.0728
Br11 Br 0.4238 0.3148 0.0728
Br12 Br 0.9974 0.9949 0.8233
```

A plane-wave DFT calculation with GGA-PBE was carried out for a relaxed structure of IrSe2Cl.

Values from the calculation:
Uncorrected energy in eV/atom: -3.856
Space-group type: Fm-3m
Total magnetic moment in μB per atom: 0.000
Calculated volume in Å³ per atom: 17.21

```
data_IrSe2Cl
_chemical_formula_sum 'Ir1 Se2 Cl1'
_cell_length_a 4.5999
_cell_length_b 4.5999
_cell_length_c 4.5999
_cell_angle_alpha 60.00
_cell_angle_beta 60.00
_cell_angle_gamma 60.00
_space_group_name_H-M_alt 'P 1'
_space_group_IT_number 1
_space_group_name_Hall 'P 1'
loop_
_atom_site_label
_atom_site_type_symbol
_atom_site_fract_x
_atom_site_fract_y
_atom_site_fract_z
Ir1 Ir 0.5000 0.5000 0.5000
Se1 Se 0.2500 0.2500 0.2500
Se2 Se 0.7500 0.7500 0.7500
Cl1 Cl 0.0000 0.0000 0.0000
```